{
  "formula": "Tb4Pr2DyTh",
  "functional": "PBE-GGA",
  "state": "optimized geometry",
  "lattice_angstrom": [[5.101, 0.000, 0.000], [0.000, 5.121, 0.000], [0.000, 0.000, 10.096]],
  "species": ["Tb", "Tb", "Tb", "Tb", "Pr", "Pr", "Dy", "Th"],
  "frac_coords": [[0.000, 0.000, 0.247], [0.000, 0.000, 0.753], [0.500, 0.500, 0.247], [0.500, 0.500, 0.753], [0.000, 0.500, 0.000], [0.500, 0.000, 0.500], [0.000, 0.500, 0.500], [0.500, 0.000, 0.000]],
  "final_energy_ev_per_atom": -4.978,
  "sg": "Pmmm"
}